A geometry-optimized Rb3Tl4CuCl8 structure, computed with PBE.

Values from the calculation:
VASP energy in eV/atom: -3.174
Total magnetic moment in μB/atom: 0.00

abc: 9.025 9.057 9.197
angles: 118.79 119.38 90.00
Each line ends with the local moment (μB).
Fractional coordinates of all 16 atoms:
Rb  0.500  0.500  0.000  0.00
Rb  0.500  0.500  0.500  0.00
Rb  0.000  0.500  0.500  0.00
Tl  0.500  0.000  0.000  0.00
Tl  0.500  0.000  0.500  0.00
Tl  0.000  0.000  0.000  0.00
Tl  0.000  0.000  0.500  0.00
Cu  0.000  0.500  0.000  0.05
Cl  0.196  0.700  0.003  0.00
Cl  0.276  0.778  0.552  0.00
Cl  0.249  0.246  0.498  0.00
Cl  0.807  0.700  0.003  0.00
Cl  0.193  0.300  0.997  0.00
Cl  0.751  0.754  0.502  0.00
Cl  0.724  0.222  0.448  0.00
Cl  0.804  0.300  0.997  0.00